DFT (PBE) results for a geometry-optimized MgCr2Ir2 structure.

Properties
Energy of formation in kcal/mol of atoms: -2.24
DOS(E_F) in states/eV per atom: 0.7472
Magnetization in μB/f.u.: 0.00
Uncorrected energy in eV/atom: -7.810
ΔE to the lowest computed polymorph in eV/atom: 0.0000

Cell lengths 7.3387, 7.3387, 2.7139 Å; angles 90.00, 90.00, 90.00 degrees
Closest atoms and distances in Å follow each position.
Space group P4/mbm (No. 127)
Symmetry-distinct sites (fractional):
1 Mg 0.0000 0.0000 0.0000  2 Mg 2.71, 4 Cr 2.97, 8 Ir 3.03
2 Cr 0.1117 0.3883 0.0000  1 Cr 2.32, 4 Ir 2.54
3 Ir 0.1747 0.6747 0.5000  6 Cr 2.54-2.60, 2 Ir 2.71